# Er6MoO12 | the Alexandria database | PBE+U | relaxed
data_Er6MoO12
_chemical_formula_sum 'Er6 Mo1 O12'
_cell_length_a 5.242
_cell_length_b 7.282
_cell_length_c 8.834
_cell_angle_alpha 99.01
_cell_angle_beta 93.23
_cell_angle_gamma 103.18
_space_group_name_H-M_alt 'P 1'
_space_group_IT_number 1
loop_
_space_group_symop_operation_xyz
'x,y,z'
loop_
_atom_site_label
_atom_site_fract_x
_atom_site_fract_y
_atom_site_fract_z
Er1 0.553 0.298 0.051
Er2 0.447 0.702 0.949
Er3 0.577 0.100 0.341
Er4 0.423 0.900 0.659
Er5 0.098 0.613 0.251
Er6 0.902 0.387 0.749
Mo1 0.000 0.000 0.000
O1 0.050 0.752 0.046
O2 0.950 0.248 0.954
O3 0.304 0.027 0.881
O4 0.696 0.973 0.119
O5 0.239 0.131 0.179
O6 0.761 0.869 0.821
O7 0.288 0.856 0.418
O8 0.712 0.144 0.582
O9 0.422 0.554 0.145
O10 0.578 0.446 0.855
O11 0.790 0.369 0.280
O12 0.210 0.631 0.720
# - VASP energy: -150.5 eV/cell
# - Crystal system: triclinic
# - Calculated density: 6.64 g/cm³
# - Polymorph energy (0 for the lowest one): 279.4 meV per atom